# 1
# PBE DyTh3Co2, relaxed
data_DyTh3Co2
_chemical_formula_sum 'Dy4 Th12 Co8'
_cell_length_a 12.461
_cell_length_b 6.782
_cell_length_c 7.383
_cell_angle_alpha 90.00
_cell_angle_beta 107.16
_cell_angle_gamma 90.00
_space_group_name_H-M_alt 'C 1 2/c 1'
_space_group_IT_number 15
_space_group_name_Hall '-C 2yc'
loop_
_atom_site_label
_atom_site_type_symbol
_atom_site_fract_x
_atom_site_fract_y
_atom_site_fract_z
Dy1 Dy 0.000 0.247 0.250
Th1 Th 0.000 0.262 0.750
Th2 Th 0.221 0.003 0.111
Co1 Co 0.123 0.499 0.562
# E = -0.5190 Ry/atom

# 2
# PBE CdAu, relaxed
data_CdAu
_chemical_formula_sum 'Cd8 Au8'
_cell_length_a 8.523
_cell_length_b 8.523
_cell_length_c 8.523
_cell_angle_alpha 90.00
_cell_angle_beta 90.00
_cell_angle_gamma 90.00
_space_group_name_H-M_alt 'I -4 3 m'
_space_group_IT_number 217
_space_group_name_Hall 'I -4 2 3'
loop_
_atom_site_label
_atom_site_type_symbol
_atom_site_fract_x
_atom_site_fract_y
_atom_site_fract_z
Cd1 Cd 0.200 0.200 0.200
Au1 Au 0.120 0.120 0.880
# E = -0.1428 Ry/atom

# 3
# PBE LiDyY4S8, relaxed
data_LiDyY4S8
_chemical_formula_sum 'Li3 Dy3 Y12 S24'
_cell_length_a 8.0202
_cell_length_b 8.0202
_cell_length_c 19.6329
_cell_angle_alpha 90.00
_cell_angle_beta 90.00
_cell_angle_gamma 120.00
_space_group_name_H-M_alt 'R 3 m'
_space_group_IT_number 160
_space_group_name_Hall 'R 3 -2"'
loop_
_atom_site_label
_atom_site_type_symbol
_atom_site_fract_x
_atom_site_fract_y
_atom_site_fract_z
Li1 Li 0.0000 0.0000 0.0000
Dy1 Dy 0.0000 0.0000 0.3704
Y1 Y 0.0000 0.0000 0.7501
Y2 Y 0.0122 0.5061 0.8765
S1 S 0.0000 0.0000 0.1314
S2 S 0.0000 0.0000 0.6165
S3 S 0.0230 0.5115 0.1278
S4 S 0.1754 0.3509 0.9564
# energy relative to the elements, uncorrected = -1.9745 eV/atom

# 4
# PBE LaV3Ga, relaxed
data_LaV3Ga
_chemical_formula_sum 'La1 V3 Ga1'
_cell_length_a 4.833
_cell_length_b 4.833
_cell_length_c 4.833
_cell_angle_alpha 90.00
_cell_angle_beta 90.00
_cell_angle_gamma 90.00
_space_group_name_H-M_alt 'P m -3 m'
_space_group_IT_number 221
_space_group_name_Hall '-P 4 2 3'
loop_
_atom_site_label
_atom_site_type_symbol
_atom_site_fract_x
_atom_site_fract_y
_atom_site_fract_z
La1 La 0.000 0.000 0.000
V1 V 0.000 0.500 0.500
Ga1 Ga 0.500 0.500 0.500
# energy above the most stable polymorph in this dataset = 0.0000 eV/atom

# 5
# PBE PuTl2AsSe4, relaxed
data_PuTl2AsSe4
_chemical_formula_sum 'Pu4 Tl8 As4 Se16'
_cell_length_a 8.534
_cell_length_b 8.687
_cell_length_c 12.185
_cell_angle_alpha 90.00
_cell_angle_beta 90.00
_cell_angle_gamma 90.00
_space_group_name_H-M_alt 'I m m a'
_space_group_IT_number 74
_space_group_name_Hall '-I 2b 2'
loop_
_atom_site_label
_atom_site_type_symbol
_atom_site_fract_x
_atom_site_fract_y
_atom_site_fract_z
Pu1 Pu 0.000 0.000 0.000
Tl1 Tl 0.000 0.000 0.500
Tl2 Tl 0.250 0.250 0.250
As1 As 0.250 0.250 0.750
Se1 Se 0.000 0.040 0.761
Se2 Se 0.223 0.250 0.978
# energy relative to the elements, uncorrected = -0.6071 eV/atom

# 6
# PBE Co2HgBr, relaxed
data_Co2HgBr
_chemical_formula_sum 'Co2 Hg1 Br1'
_cell_length_a 3.145
_cell_length_b 3.145
_cell_length_c 6.509
_cell_angle_alpha 90.00
_cell_angle_beta 90.00
_cell_angle_gamma 90.00
_space_group_name_H-M_alt 'P 4/m m m'
_space_group_IT_number 123
_space_group_name_Hall '-P 4 2'
loop_
_atom_site_label
_atom_site_type_symbol
_atom_site_fract_x
_atom_site_fract_y
_atom_site_fract_z
Co1 Co 0.000 0.000 0.238
Hg1 Hg 0.500 0.500 0.500
Br1 Br 0.500 0.500 0.000
# energy above the most stable polymorph in this dataset = 0.3448 eV/atom
# energy relative to the elements, uncorrected = 0.6869 eV/atom

# 7
# PBE Fe2ReCl, relaxed
data_Fe2ReCl
_chemical_formula_sum 'Fe4 Re2 Cl2'
_cell_length_a 5.204
_cell_length_b 8.032
_cell_length_c 2.722
_cell_angle_alpha 90.00
_cell_angle_beta 90.00
_cell_angle_gamma 90.00
_space_group_name_H-M_alt 'C m m m'
_space_group_IT_number 65
_space_group_name_Hall '-C 2 2'
loop_
_atom_site_label
_atom_site_type_symbol
_atom_site_fract_x
_atom_site_fract_y
_atom_site_fract_z
Fe1 Fe 0.250 0.250 0.000
Re1 Re 0.000 0.000 0.500
Cl1 Cl 0.000 0.500 0.500
# energy above the most stable polymorph in this dataset = 0.4619 eV/atom
# energy relative to the elements, uncorrected = 0.7362 eV/atom

# 8
# PBE TlIn2PtBr, relaxed
data_TlIn2PtBr
_chemical_formula_sum 'Tl1 In2 Pt1 Br1'
_cell_length_a 5.240
_cell_length_b 5.240
_cell_length_c 5.407
_cell_angle_alpha 90.00
_cell_angle_beta 90.00
_cell_angle_gamma 90.00
_space_group_name_H-M_alt 'P 4/m m m'
_space_group_IT_number 123
_space_group_name_Hall '-P 4 2'
loop_
_atom_site_label
_atom_site_type_symbol
_atom_site_fract_x
_atom_site_fract_y
_atom_site_fract_z
Tl1 Tl 0.000 0.000 0.000
In1 In 0.000 0.500 0.500
Pt1 Pt 0.000 0.000 0.500
Br1 Br 0.500 0.500 0.000
# energy relative to the elements, uncorrected = -0.4761 eV/atom

# 9
# PBE ScRh2, relaxed
data_ScRh2
_chemical_formula_sum 'Sc4 Rh8'
_cell_length_a 5.139
_cell_length_b 5.139
_cell_length_c 8.061
_cell_angle_alpha 90.00
_cell_angle_beta 90.00
_cell_angle_gamma 90.00
_space_group_name_H-M_alt 'I 4/m c m'
_space_group_IT_number 140
_space_group_name_Hall '-I 4 2c'
loop_
_atom_site_label
_atom_site_type_symbol
_atom_site_fract_x
_atom_site_fract_y
_atom_site_fract_z
Sc1 Sc 0.000 0.000 0.250
Rh1 Rh 0.179 0.321 0.000
# E = -0.5525 Ry/atom

# 10
# PBE Tb2PrDy5Y, relaxed
data_Tb2PrDy5Y
_chemical_formula_sum 'Tb8 Pr4 Dy20 Y4'
_cell_length_a 8.966
_cell_length_b 8.966
_cell_length_c 14.751
_cell_angle_alpha 90.00
_cell_angle_beta 90.00
_cell_angle_gamma 90.00
_space_group_name_H-M_alt 'I 4/m c m'
_space_group_IT_number 140
_space_group_name_Hall '-I 4 2c'
loop_
_atom_site_label
_atom_site_type_symbol
_atom_site_fract_x
_atom_site_fract_y
_atom_site_fract_z
Tb1 Tb 0.112 0.388 0.000
Pr1 Pr 0.000 0.000 0.250
Dy1 Dy 0.000 0.000 0.000
Dy2 Dy 0.206 0.294 0.368
Y1 Y 0.000 0.500 0.250
# E = -0.3345 Ry/atom

# 11
# PBE KAcAu, relaxed
data_KAcAu
_chemical_formula_sum 'K2 Ac2 Au2'
_cell_length_a 4.000
_cell_length_b 4.000
_cell_length_c 15.261
_cell_angle_alpha 90.00
_cell_angle_beta 90.00
_cell_angle_gamma 90.00
_space_group_name_H-M_alt 'I 4 m m'
_space_group_IT_number 107
_space_group_name_Hall 'I 4 -2'
loop_
_atom_site_label
_atom_site_type_symbol
_atom_site_fract_x
_atom_site_fract_y
_atom_site_fract_z
K1 K 0.000 0.000 0.000
Ac1 Ac 0.000 0.000 0.254
Au1 Au 0.000 0.000 0.660
# energy above the most stable polymorph in this dataset = 0.0435 eV/atom

# 12
# PBE HoSc2Hg, relaxed
data_HoSc2Hg
_chemical_formula_sum 'Ho1 Sc2 Hg1'
_cell_length_a 4.573
_cell_length_b 4.573
_cell_length_c 4.603
_cell_angle_alpha 90.00
_cell_angle_beta 90.00
_cell_angle_gamma 90.00
_space_group_name_H-M_alt 'P 4/m m m'
_space_group_IT_number 123
_space_group_name_Hall '-P 4 2'
loop_
_atom_site_label
_atom_site_type_symbol
_atom_site_fract_x
_atom_site_fract_y
_atom_site_fract_z
Ho1 Ho 0.000 0.000 0.000
Sc1 Sc 0.000 0.500 0.500
Hg1 Hg 0.500 0.500 0.000
# energy above the most stable polymorph in this dataset = 0.0072 eV/atom

# 13
# PBE Ti2AlAgH, relaxed
data_Ti2AlAgH
_chemical_formula_sum 'Ti2 Al1 Ag1 H1'
_cell_length_a 3.966
_cell_length_b 3.966
_cell_length_c 4.331
_cell_angle_alpha 90.00
_cell_angle_beta 90.00
_cell_angle_gamma 90.00
_space_group_name_H-M_alt 'P 4/m m m'
_space_group_IT_number 123
_space_group_name_Hall '-P 4 2'
loop_
_atom_site_label
_atom_site_type_symbol
_atom_site_fract_x
_atom_site_fract_y
_atom_site_fract_z
Ti1 Ti 0.000 0.500 0.000
Al1 Al 0.000 0.000 0.500
Ag1 Ag 0.500 0.500 0.500
H1 H 0.500 0.500 0.000
# energy above the most stable polymorph in this dataset = 0.0000 eV/atom

# 14
# PBE Pr2PaCo3Ni12, relaxed
data_Pr2PaCo3Ni12
_chemical_formula_sum 'Pr6 Pa3 Co9 Ni36'
_cell_length_a 8.4377
_cell_length_b 8.4377
_cell_length_c 12.4280
_cell_angle_alpha 90.00
_cell_angle_beta 90.00
_cell_angle_gamma 120.00
_space_group_name_H-M_alt 'R -3 m'
_space_group_IT_number 166
_space_group_name_Hall '-R 3 2"'
loop_
_atom_site_label
_atom_site_type_symbol
_atom_site_fract_x
_atom_site_fract_y
_atom_site_fract_z
Pr1 Pr 0.0000 0.0000 0.2111
Pa1 Pa 0.0000 0.0000 0.5000
Co1 Co 0.0000 0.5000 0.0000
Ni1 Ni 0.0107 0.5054 0.2073
Ni2 Ni 0.0307 0.5154 0.6065
# E = -0.4433 Ry/atom

# 15
# PBE GaBSN2, relaxed
data_GaBSN2
_chemical_formula_sum 'Ga1 B1 S1 N2'
_cell_length_a 3.555
_cell_length_b 3.555
_cell_length_c 7.045
_cell_angle_alpha 90.00
_cell_angle_beta 90.00
_cell_angle_gamma 90.00
_space_group_name_H-M_alt 'P 4/m m m'
_space_group_IT_number 123
_space_group_name_Hall '-P 4 2'
loop_
_atom_site_label
_atom_site_type_symbol
_atom_site_fract_x
_atom_site_fract_y
_atom_site_fract_z
Ga1 Ga 0.000 0.000 0.000
B1 B 0.500 0.500 0.500
S1 S 0.000 0.000 0.500
N1 N 0.000 0.500 0.000
# energy above the most stable polymorph in this dataset = 1.1443 eV/atom
# energy relative to the elements, uncorrected = 1.9949 eV/atom

# 16
# PBE Nd2Ho6Th, relaxed
data_Nd2Ho6Th
_chemical_formula_sum 'Nd4 Ho12 Th2'
_cell_length_a 16.926
_cell_length_b 9.771
_cell_length_c 3.486
_cell_angle_alpha 90.00
_cell_angle_beta 90.08
_cell_angle_gamma 90.00
_space_group_name_H-M_alt 'C 1 2/m 1'
_space_group_IT_number 12
_space_group_name_Hall '-C 2y'
loop_
_atom_site_label
_atom_site_type_symbol
_atom_site_fract_x
_atom_site_fract_y
_atom_site_fract_z
Nd1 Nd 0.167 0.000 0.000
Ho1 Ho 0.000 0.169 0.500
Ho2 Ho 0.165 0.335 0.500
Th1 Th 0.000 0.500 0.000
# energy above the most stable polymorph in this dataset = 0.0000 eV/atom

# 17
# PBE YBr2, relaxed
data_YBr2
_chemical_formula_sum 'Y2 Br4'
_cell_length_a 7.280
_cell_length_b 7.280
_cell_length_c 3.680
_cell_angle_alpha 90.00
_cell_angle_beta 90.00
_cell_angle_gamma 90.00
_space_group_name_H-M_alt 'P 42/m n m'
_space_group_IT_number 136
_space_group_name_Hall '-P 4n 2n'
loop_
_atom_site_label
_atom_site_type_symbol
_atom_site_fract_x
_atom_site_fract_y
_atom_site_fract_z
Y1 Y 0.000 0.000 0.000
Br1 Br 0.217 0.217 0.500
# energy relative to the elements, uncorrected = -1.5221 eV/atom

# 18
# PBE SrTcNi2Pb, relaxed
data_SrTcNi2Pb
_chemical_formula_sum 'Sr1 Tc1 Ni2 Pb1'
_cell_length_a 4.692
_cell_length_b 4.692
_cell_length_c 5.963
_cell_angle_alpha 90.00
_cell_angle_beta 90.00
_cell_angle_gamma 90.00
_space_group_name_H-M_alt 'P 4/m m m'
_space_group_IT_number 123
_space_group_name_Hall '-P 4 2'
loop_
_atom_site_label
_atom_site_type_symbol
_atom_site_fract_x
_atom_site_fract_y
_atom_site_fract_z
Sr1 Sr 0.000 0.000 0.000
Tc1 Tc 0.500 0.500 0.500
Ni1 Ni 0.000 0.500 0.000
Pb1 Pb 0.000 0.000 0.500
# E = -0.2554 Ry/atom

# 19
# PBE Hg2SeO5, relaxed
data_Hg2SeO5
_chemical_formula_sum 'Hg2 Se1 O5'
_cell_length_a 5.987
_cell_length_b 5.987
_cell_length_c 6.123
_cell_angle_alpha 114.56
_cell_angle_beta 117.87
_cell_angle_gamma 95.41
_space_group_name_H-M_alt 'P 1'
_space_group_IT_number 1
_space_group_name_Hall 'P 1'
loop_
_atom_site_label
_atom_site_type_symbol
_atom_site_fract_x
_atom_site_fract_y
_atom_site_fract_z
Hg1 Hg 0.000 0.000 0.000
Hg2 Hg 0.434 0.434 0.001
Se1 Se 0.040 0.540 0.500
O1 O 0.150 0.292 0.566
O2 O 0.170 0.730 0.891
O3 O 0.243 0.743 0.498
O4 O 0.727 0.585 0.435
O5 O 0.839 0.279 0.109
# energy above the most stable polymorph in this dataset = 0.1149 eV/atom
# energy relative to the elements, uncorrected = -0.3671 eV/atom

# 20
# PBE Ba2NiP, relaxed
data_Ba2NiP
_chemical_formula_sum 'Ba8 Ni4 P4'
_cell_length_a 6.583
_cell_length_b 6.583
_cell_length_c 16.436
_cell_angle_alpha 90.00
_cell_angle_beta 90.00
_cell_angle_gamma 90.00
_space_group_name_H-M_alt 'I -4 2 d'
_space_group_IT_number 122
_space_group_name_Hall 'I -4 2bw'
loop_
_atom_site_label
_atom_site_type_symbol
_atom_site_fract_x
_atom_site_fract_y
_atom_site_fract_z
Ba1 Ba 0.243 0.250 0.125
Ni1 Ni 0.000 0.000 0.500
P1 P 0.000 0.000 0.000
# E = -0.2658 Ry/atom

# 21
# PBE MnCuS2, relaxed
data_MnCuS2
_chemical_formula_sum 'Mn2 Cu2 S4'
_cell_length_a 5.815
_cell_length_b 3.600
_cell_length_c 6.325
_cell_angle_alpha 90.00
_cell_angle_beta 90.00
_cell_angle_gamma 90.00
_space_group_name_H-M_alt 'P m m a'
_space_group_IT_number 51
_space_group_name_Hall '-P 2a 2a'
loop_
_atom_site_label
_atom_site_type_symbol
_atom_site_fract_x
_atom_site_fract_y
_atom_site_fract_z
Mn1 Mn 0.000 0.000 0.000
Cu1 Cu 0.250 0.500 0.497
S1 S 0.250 0.000 0.291
S2 S 0.250 0.500 0.846
# energy relative to the elements, uncorrected = -0.4137 eV/atom

# 22
# PBE NaCaGaTe3, relaxed
data_NaCaGaTe3
_chemical_formula_sum 'Na2 Ca2 Ga2 Te6'
_cell_length_a 9.100
_cell_length_b 4.382
_cell_length_c 11.372
_cell_angle_alpha 90.00
_cell_angle_beta 107.13
_cell_angle_gamma 90.00
_space_group_name_H-M_alt 'P 1 21/m 1'
_space_group_IT_number 11
_space_group_name_Hall '-P 2yb'
loop_
_atom_site_label
_atom_site_type_symbol
_atom_site_fract_x
_atom_site_fract_y
_atom_site_fract_z
Na1 Na 0.219 0.250 0.177
Ca1 Ca 0.327 0.750 0.883
Ga1 Ga 0.072 0.250 0.622
Te1 Te 0.054 0.250 0.845
Te2 Te 0.211 0.750 0.553
Te3 Te 0.458 0.750 0.170
# energy relative to the elements, uncorrected = -0.8583 eV/atom

# 23
# PBE TmPaMoOs, relaxed
data_TmPaMoOs
_chemical_formula_sum 'Tm4 Pa4 Mo4 Os4'
_cell_length_a 6.847
_cell_length_b 6.847
_cell_length_c 6.847
_cell_angle_alpha 90.00
_cell_angle_beta 90.00
_cell_angle_gamma 90.00
_space_group_name_H-M_alt 'F -4 3 m'
_space_group_IT_number 216
_space_group_name_Hall 'F -4 2 3'
loop_
_atom_site_label
_atom_site_type_symbol
_atom_site_fract_x
_atom_site_fract_y
_atom_site_fract_z
Tm1 Tm 0.000 0.000 0.000
Pa1 Pa 0.000 0.000 0.500
Mo1 Mo 0.250 0.250 0.750
Os1 Os 0.250 0.250 0.250
# E = -0.6680 Ry/atom

# 24
# PBE MnBSbTe2, relaxed
data_MnBSbTe2
_chemical_formula_sum 'Mn1 B1 Sb1 Te2'
_cell_length_a 4.758
_cell_length_b 4.758
_cell_length_c 4.678
_cell_angle_alpha 90.00
_cell_angle_beta 90.00
_cell_angle_gamma 90.00
_space_group_name_H-M_alt 'P 4/m m m'
_space_group_IT_number 123
_space_group_name_Hall '-P 4 2'
loop_
_atom_site_label
_atom_site_type_symbol
_atom_site_fract_x
_atom_site_fract_y
_atom_site_fract_z
Mn1 Mn 0.000 0.000 0.000
B1 B 0.500 0.500 0.500
Sb1 Sb 0.500 0.500 0.000
Te1 Te 0.000 0.500 0.500
# energy above the most stable polymorph in this dataset = 0.0849 eV/atom
# energy relative to the elements, uncorrected = 1.2605 eV/atom